# Ac5W2O12 (GGA+U, optimized geometry)
# E_tot: -7.956 eV/atom
# Magnetization: 6.0 μB per cell
# Crystal system: monoclinic
data_Ac5W2O12
_chemical_formula_sum 'Ac10 W4 O24'
_symmetry_space_group_name_H-M 'C 1 2/m 1'
_symmetry_Int_Tables_number 12
_cell_length_a 13.365
_cell_length_b 6.428
_cell_length_c 8.036
_cell_angle_alpha 90.00
_cell_angle_beta 107.09
_cell_angle_gamma 90.00
loop_
_symmetry_equiv_pos_as_xyz
'x,y,z'
'-x,-y,-z'
'-x,y,-z'
'x,-y,z'
'x+1/2,y+1/2,z'
'-x+1/2,-y+1/2,-z'
'-x+1/2,y+1/2,-z'
'x+1/2,-y+1/2,z'
loop_
_atom_site_label
_atom_site_type_symbol
_atom_site_fract_x
_atom_site_fract_y
_atom_site_fract_z
Ac1 Ac 0.000 0.000 0.000
Ac2 Ac 0.191 0.500 0.858
Ac3 Ac 0.194 0.500 0.335
W1 W 0.000 0.244 0.500
O1 O 0.001 0.000 0.668
O2 O 0.002 0.500 0.333
O3 O 0.155 0.248 0.079
O4 O 0.156 0.265 0.577